{"formula": "O2F", "functional": "PBE", "state": "relaxed", "raw_formation_energy_ev_per_atom": -0.090, "spacegroup": "No. 1", "m_tot_mub_per_fu": 0.00, "polymorph_energy_mev_per_atom": 0, "cell": [[3.785, 0.000, 0.000], [-1.843, 4.542, 0.000], [-1.699, -1.837, 5.174]], "species": ["O", "O", "O", "O", "F", "F"], "frac_coords": [[0.000, 0.000, 0.000], [0.042, 0.765, 0.953], [0.385, 0.199, 0.377], [0.499, 0.000, 0.399], [0.223, 0.751, 0.512], [0.663, 0.465, 0.966]]}

{"formula": "LiPbSe2", "functional": "PBE", "state": "relaxed", "raw_formation_energy_ev_per_atom": -0.627, "spacegroup": "No. 25", "m_tot_mub_per_fu": 0.00, "cell": [[4.310, 0.000, 0.000], [0.000, 5.136, 0.000], [0.000, 0.000, 5.060]], "species": ["Li", "Pb", "Se", "Se"], "frac_coords": [[0.000, 0.000, 0.000], [0.500, 0.500, 0.506], [0.000, 0.500, 0.153], [0.500, 0.000, 0.718]]}

{"formula": "TeIr2", "functional": "PBE", "state": "relaxed", "raw_formation_energy_ev_per_atom": 0.374, "spacegroup": "No. 62", "m_tot_mub_per_fu": 0.00, "polymorph_energy_mev_per_atom": 367, "cell": [[6.225, 0.000, 0.000], [0.000, 3.733, 0.000], [0.000, 0.000, 9.076]], "species": ["Te", "Te", "Te", "Te", "Ir", "Ir", "Ir", "Ir", "Ir", "Ir", "Ir", "Ir"], "frac_coords": [[0.180, 0.250, 0.097], [0.320, 0.750, 0.597], [0.680, 0.250, 0.403], [0.820, 0.750, 0.903], [0.086, 0.250, 0.392], [0.100, 0.250, 0.811], [0.400, 0.750, 0.311], [0.414, 0.750, 0.892], [0.586, 0.250, 0.108], [0.600, 0.250, 0.689], [0.900, 0.750, 0.189], [0.914, 0.750, 0.608]]}

{"formula": "Y2MgZn", "functional": "PBE", "state": "relaxed", "spacegroup": "No. 6", "ef_mev_per_atom": -139, "m_tot_mub_per_fu": 0.00, "polymorph_energy_mev_per_atom": 93, "cell": [[3.581, 0.000, 0.000], [0.000, 4.780, 0.000], [-1.771, 0.000, 6.004]], "species": ["Y", "Y", "Mg", "Zn"], "frac_coords": [[0.000, 0.000, 0.000], [0.325, 0.500, 0.651], [0.724, 0.000, 0.448], [0.590, 0.500, 0.181]]}